1.
A relaxed FeMo2Os crystal. Source: the Alexandria database, functional PBE. Values from VASP.

Output
Formation energy ... 334 kJ/mol of formula units
Polymorph energy (0 for the lowest one) ... 769 meV/atom
Space group ... No. 122

The structure in Quantum ESPRESSO input format:
```
&SYSTEM
  ibrav = 0, nat = 8, ntyp = 3
/
ATOMIC_SPECIES
Fe 55.84 Fe.upf
Os 190.23 Os.upf
Mo 95.94 Mo.upf
ATOMIC_POSITIONS crystal
Fe 0.250 0.750 0.500
Os 0.750 0.250 0.500
Fe 0.500 0.500 0.000
Mo 0.142 0.625 0.250
Mo 0.608 0.125 0.250
Mo 0.875 0.858 0.750
Os 0.000 0.000 0.000
Mo 0.375 0.392 0.750
CELL_PARAMETERS angstrom
3.827 0.000 0.000
0.000 3.827 0.000
1.913 1.913 8.554
```

---

2.
A relaxed Fe2MoOs crystal. Source: the Alexandria database, functional PBE. Values from VASP.

Output
Formation energy ... 76 kJ/mol of formula units
Space group ... No. 12

The structure in Quantum ESPRESSO input format:
```
&SYSTEM
  ibrav = 0, nat = 4, ntyp = 3
/
ATOMIC_SPECIES
Fe 55.84 Fe.upf
Os 190.23 Os.upf
Mo 95.94 Mo.upf
ATOMIC_POSITIONS crystal
Fe 0.000 0.000 0.000
Os 0.000 0.500 0.500
Fe 0.500 0.500 0.000
Mo 0.500 0.000 0.500
CELL_PARAMETERS angstrom
-0.772 -4.779 -1.125
2.269 2.776 -3.442
2.436 -0.902 0.257
```

---

3.
A relaxed FeMoOs2 crystal. Source: the Alexandria database, functional PBE. Values from VASP.

Output
Formation energy ... 58 kJ/mol of formula units
Polymorph energy (0 for the lowest one) ... 88 meV/atom
Space group ... No. 166

The structure in Quantum ESPRESSO input format:
```
&SYSTEM
  ibrav = 0, nat = 4, ntyp = 3
/
ATOMIC_SPECIES
Os 190.23 Os.upf
Fe 55.84 Fe.upf
Mo 95.94 Mo.upf
ATOMIC_POSITIONS crystal
Os 0.503 0.503 0.503
Fe 0.250 0.250 0.250
Os 0.997 0.997 0.997
Mo 0.750 0.750 0.750
CELL_PARAMETERS angstrom
8.975 0.003 0.002
8.560 2.698 0.002
8.560 1.318 2.354
```

---

4.
A relaxed FeMo2Os2 crystal. Source: the Alexandria database, functional PBE. Values from VASP.

Output
Formation energy ... 408 kJ/mol of formula units
Space group ... No. 139

The structure in Quantum ESPRESSO input format:
```
&SYSTEM
  ibrav = 0, nat = 5, ntyp = 3
/
ATOMIC_SPECIES
Os 190.23 Os.upf
Fe 55.84 Fe.upf
Mo 95.94 Mo.upf
ATOMIC_POSITIONS crystal
Os 0.750 0.250 0.500
Fe 0.000 0.000 0.000
Mo 0.396 0.396 0.000
Os 0.250 0.750 0.500
Mo 0.604 0.604 0.000
CELL_PARAMETERS angstrom
-1.872 1.872 6.112
1.872 -1.872 6.112
1.872 1.872 -6.112
```

---

5.
A relaxed FeMo2Os crystal. Source: the Alexandria database, functional PBE. Values from VASP.

Output
Formation energy ... 65 kJ/mol of formula units
Polymorph energy (0 for the lowest one) ... 71 meV/atom
Space group ... No. 12

The structure in Quantum ESPRESSO input format:
```
&SYSTEM
  ibrav = 0, nat = 4, ntyp = 3
/
ATOMIC_SPECIES
Fe 55.84 Fe.upf
Mo 95.94 Mo.upf
Os 190.23 Os.upf
ATOMIC_POSITIONS crystal
Fe 0.000 0.500 0.500
Mo 0.500 0.500 0.000
Mo 0.000 0.000 0.000
Os 0.500 0.000 0.500
CELL_PARAMETERS angstrom
5.020 -0.001 -0.011
-2.231 4.497 -0.011
0.383 0.618 2.593
```

---

6.
A relaxed FeMoOs2 crystal. Source: the Alexandria database, functional PBE. Values from VASP.

Output
Formation energy ... 55 kJ/mol of formula units
Polymorph energy (0 for the lowest one) ... 81 meV/atom
Space group ... No. 123

The structure in Quantum ESPRESSO input format:
```
&SYSTEM
  ibrav = 0, nat = 4, ntyp = 3
/
ATOMIC_SPECIES
Fe 55.84 Fe.upf
Os 190.23 Os.upf
Mo 95.94 Mo.upf
ATOMIC_POSITIONS crystal
Fe 0.500 0.500 0.250
Os 0.000 0.000 0.018
Mo 0.500 0.500 0.750
Os 0.000 0.000 0.482
CELL_PARAMETERS angstrom
2.722 0.006 0.000
-0.006 2.722 0.000
0.000 0.000 7.526
```

---

7.
A relaxed Fe2MoOs crystal. Source: the Alexandria database, functional PBE. Values from VASP.

Output
Formation energy ... 93 kJ/mol of formula units
Space group ... No. 166

The structure in Quantum ESPRESSO input format:
```
&SYSTEM
  ibrav = 0, nat = 4, ntyp = 3
/
ATOMIC_SPECIES
Mo 95.94 Mo.upf
Os 190.23 Os.upf
Fe 55.84 Fe.upf
ATOMIC_POSITIONS crystal
Mo 0.250 0.250 0.250
Os 0.750 0.750 0.750
Fe 0.002 0.002 0.002
Fe 0.498 0.498 0.498
CELL_PARAMETERS angstrom
-0.455 -6.226 6.230
-0.041 -7.797 4.121
2.026 -6.688 5.380
```

---

8.
A relaxed FeMo2Os crystal. Source: the Alexandria database, functional PBE. Values from VASP.

Output
Formation energy ... 38 kJ/mol of formula units
Polymorph energy (0 for the lowest one) ... 0 meV/atom
Space group ... No. 139

The structure in Quantum ESPRESSO input format:
```
&SYSTEM
  ibrav = 0, nat = 4, ntyp = 3
/
ATOMIC_SPECIES
Mo 95.94 Mo.upf
Os 190.23 Os.upf
Fe 55.84 Fe.upf
ATOMIC_POSITIONS crystal
Mo 0.500 0.500 0.000
Mo 0.000 0.000 0.000
Os 0.250 0.750 0.500
Fe 0.750 0.250 0.500
CELL_PARAMETERS angstrom
-3.076 0.340 3.559
-4.383 0.072 -1.739
3.620 -2.931 -0.745
```

---

9.
A relaxed FeMoOs2 crystal. Source: the Alexandria database, functional PBE. Values from VASP.

Output
Formation energy ... 46 kJ/mol of formula units
Polymorph energy (0 for the lowest one) ... 58 meV/atom
Space group ... No. 12

The structure in Quantum ESPRESSO input format:
```
&SYSTEM
  ibrav = 0, nat = 4, ntyp = 3
/
ATOMIC_SPECIES
Os 190.23 Os.upf
Mo 95.94 Mo.upf
Fe 55.84 Fe.upf
ATOMIC_POSITIONS crystal
Os 0.004 0.004 0.982
Os 0.496 0.496 0.518
Mo 0.250 0.250 0.250
Fe 0.750 0.750 0.750
CELL_PARAMETERS angstrom
-0.707 4.000 2.199
-3.041 3.347 0.941
-1.740 -1.669 4.091
```

---

10.
A relaxed Fe2MoOs crystal. Source: the Alexandria database, functional PBE. Values from VASP.

Output
Formation energy ... 55 kJ/mol of formula units
Space group ... No. 8

The structure in Quantum ESPRESSO input format:
```
&SYSTEM
  ibrav = 0, nat = 4, ntyp = 3
/
ATOMIC_SPECIES
Os 190.23 Os.upf
Mo 95.94 Mo.upf
Fe 55.84 Fe.upf
ATOMIC_POSITIONS crystal
Os 0.742 0.742 0.782
Mo 0.501 0.501 0.486
Fe 0.256 0.256 0.240
Fe 0.001 0.001 0.993
CELL_PARAMETERS angstrom
-1.928 -0.896 4.017
0.701 -1.024 4.372
-0.032 4.223 1.753
```

---

11.
A relaxed FeMoOs2 crystal. Source: the Alexandria database, functional PBE. Values from VASP.

Output
Formation energy ... 54 kJ/mol of formula units
Polymorph energy (0 for the lowest one) ... 77 meV/atom
Space group ... No. 99

The structure in Quantum ESPRESSO input format:
```
&SYSTEM
  ibrav = 0, nat = 4, ntyp = 3
/
ATOMIC_SPECIES
Os 190.23 Os.upf
Mo 95.94 Mo.upf
Fe 55.84 Fe.upf
ATOMIC_POSITIONS crystal
Os 0.500 0.500 0.263
Mo 0.500 0.500 0.733
Fe 0.000 0.000 0.494
Os 0.000 0.000 0.011
CELL_PARAMETERS angstrom
-1.702 -1.940 -0.822
2.058 -1.758 -0.113
-1.258 -1.932 7.165
```

---

12.
A relaxed FeMo2Os crystal. Source: the Alexandria database, functional PBE. Values from VASP.

Output
Formation energy ... 73 kJ/mol of formula units
Polymorph energy (0 for the lowest one) ... 90 meV/atom
Space group ... No. 44

The structure in Quantum ESPRESSO input format:
```
&SYSTEM
  ibrav = 0, nat = 4, ntyp = 3
/
ATOMIC_SPECIES
Mo 95.94 Mo.upf
Fe 55.84 Fe.upf
Os 190.23 Os.upf
ATOMIC_POSITIONS crystal
Mo 0.002 0.002 0.000
Fe 0.245 0.745 0.500
Mo 0.755 0.255 0.500
Os 0.498 0.498 0.000
CELL_PARAMETERS angstrom
5.079 -0.011 -0.020
2.274 4.542 0.020
-3.222 -3.003 2.529
```

---

Number 1: mass density 11.6 g/cm³, total magnetic moment 0.00 μB per formula unit. Number 2: mass density 12.1 g/cm³, total magnetic moment 4.98 μB per formula unit. Number 3: mass density 15.5 g/cm³, total magnetic moment 2.44 μB per formula unit. Number 4: mass density 12.2 g/cm³, total magnetic moment 2.51 μB per formula unit. Number 5: mass density 12.4 g/cm³, total magnetic moment 2.71 μB per formula unit. Number 6: mass density 15.8 g/cm³, total magnetic moment 1.50 μB per formula unit. Number 7: mass density 12.4 g/cm³, total magnetic moment 3.11 μB per formula unit. Number 8: mass density 12.7 g/cm³, total magnetic moment 1.39 μB per formula unit. Number 9: mass density 15.7 g/cm³, total magnetic moment 1.64 μB per formula unit. Number 10: mass density 12.7 g/cm³, total magnetic moment 1.88 μB per formula unit. Number 11: mass density 16.0 g/cm³, total magnetic moment 0.01 μB per formula unit. Number 12: mass density 12.4 g/cm³, total magnetic moment 2.56 μB per formula unit.